Computed, not measured: Ac4IrSeBr2 after structural relaxation at the PBE level of DFT.

Its electronic total energy is -5.333 eV per atom. For the uncorrected formation energy, the calculation gives -1.317 eV/atom. The calculation puts the spin magnetization at 0.000 μB/cell.

The space group is P2/m (No. 10) and the conventional cell measures 8.124, 4.339 and 8.333 Å, with angles of 90.00, 107.72 and 90.00 degrees. The asymmetric unit holds Ac at (0.208, 0.000, 0.199), Ac at (0.246, 0.500, 0.790), Ir at (0.000, 0.500, 0.000), Se at (0.500, 0.000, 0.000), Br at (0.000, 0.000, 0.500) and Br at (0.500, 0.500, 0.500).

Computed, not measured: Ac8Ir3Se3Br after structural relaxation at the PBE level of DFT.

Its electronic total energy is -5.936 eV per atom. For the uncorrected formation energy, the calculation gives -1.165 eV/atom. The calculation puts the spin magnetization at 0.000 μB/cell.

The space group is R-3m (No. 166, hexagonal axes) and the conventional cell measures 8.9350, 8.9350 and 21.8336 Å, with angles of 90.00, 90.00 and 120.00 degrees. The asymmetric unit holds Ac at (0.0000, 0.0000, 0.2406), Ac at (0.0262, 0.5131, 0.7538), Ir at (0.0000, 0.5000, 0.5000), Se at (0.0000, 0.5000, 0.0000) and Br at (0.0000, 0.0000, 0.5000).

Computed, not measured: Ac6Ir2Se3Br after structural relaxation at the PBE level of DFT.

Its electronic total energy is -5.937 eV per atom. For the uncorrected formation energy, the calculation gives -1.396 eV/atom. The calculation puts the spin magnetization at 0.000 μB/cell.

The space group is C2/m (No. 12) and the conventional cell measures 19.710, 4.361 and 9.306 Å, with angles of 90.00, 105.06 and 90.00 degrees. The asymmetric unit holds Ac at (0.013, 0.000, 0.272), Ac at (0.174, 0.500, 0.565), Ac at (0.177, 0.500, 0.118), Ir at (0.168, 0.000, 0.333), Se at (0.000, 0.500, 0.500), Se at (0.155, 0.000, 0.842) and Br at (0.000, 0.500, 0.000).

Computed, not measured: Ac6Ir3Se2Br after structural relaxation at the PBE level of DFT.

Its electronic total energy is -6.225 eV per atom. For the uncorrected formation energy, the calculation gives -1.236 eV/atom. The calculation puts the spin magnetization at 0.000 μB/cell.

The space group is C2/m (No. 12) and the conventional cell measures 19.986, 4.343 and 9.268 Å, with angles of 90.00, 108.48 and 90.00 degrees. The asymmetric unit holds Ac at (0.007, 0.000, 0.222), Ac at (0.161, 0.500, 0.097), Ac at (0.178, 0.500, 0.567), Ir at (0.000, 0.500, 0.000), Ir at (0.166, 0.000, 0.331), Se at (0.164, 0.000, 0.827) and Br at (0.000, 0.500, 0.500).

Computed, not measured: Ac4IrSe2Br after structural relaxation at the PBE level of DFT.

Its electronic total energy is -5.654 eV per atom. For the uncorrected formation energy, the calculation gives -1.412 eV/atom. The calculation puts the spin magnetization at 0.000 μB/cell.

The space group is P2/m (No. 10) and the conventional cell measures 7.906, 4.346 and 7.921 Å, with angles of 90.00, 108.16 and 90.00 degrees. The asymmetric unit holds Ac at (0.225, 0.000, 0.218), Ac at (0.254, 0.500, 0.769), Ir at (0.000, 0.500, 0.000), Se at (0.500, 0.000, 0.000), Se at (0.500, 0.500, 0.500) and Br at (0.000, 0.000, 0.500).

Computed, not measured: Ac6Si2IrBr3 after structural relaxation at the PBE level of DFT.

Its electronic total energy is -5.174 eV per atom. For the uncorrected formation energy, the calculation gives -1.059 eV/atom. The calculation puts the spin magnetization at 0.000 μB/cell.

The space group is C2/m (No. 12) and the conventional cell measures 20.093, 4.463 and 9.546 Å, with angles of 90.00, 104.93 and 90.00 degrees. The asymmetric unit holds Ac at (0.004, 0.000, 0.217), Ac at (0.150, 0.500, 0.104), Ac at (0.175, 0.500, 0.565), Si at (0.164, 0.000, 0.338), Ir at (0.000, 0.500, 0.000), Br at (0.000, 0.500, 0.500) and Br at (0.176, 0.000, 0.838).

Computed, not measured: Ac8SiIr3Br4 after structural relaxation at the PBE level of DFT.

Its electronic total energy is -5.584 eV per atom. For the uncorrected formation energy, the calculation gives -1.111 eV/atom. The calculation puts the spin magnetization at 0.000 μB/cell.

The space group is R-3m (No. 166, hexagonal axes) and the conventional cell measures 8.8882, 8.8882 and 24.4163 Å, with angles of 90.00, 90.00 and 120.00 degrees. The asymmetric unit holds Ac at (0.0000, 0.0000, 0.2324), Ac at (0.0129, 0.5065, 0.7683), Si at (0.0000, 0.0000, 0.5000), Ir at (0.0000, 0.5000, 0.5000), Br at (0.0000, 0.0000, 0.0000) and Br at (0.0000, 0.5000, 0.0000).

Computed, not measured: Ac8Si3IrBr4 after structural relaxation at the PBE level of DFT.

Its electronic total energy is -5.088 eV per atom. For the uncorrected formation energy, the calculation gives -1.045 eV/atom. The calculation puts the spin magnetization at 0.001 μB/cell.

The space group is R-3m (No. 166, hexagonal axes) and the conventional cell measures 9.0966, 9.0966 and 23.0684 Å, with angles of 90.00, 90.00 and 120.00 degrees. The asymmetric unit holds Ac at (0.0000, 0.0000, 0.2391), Ac at (0.0114, 0.5057, 0.2359), Si at (0.0000, 0.5000, 0.5000), Ir at (0.0000, 0.0000, 0.5000), Br at (0.0000, 0.0000, 0.0000) and Br at (0.0000, 0.5000, 0.0000).

Computed, not measured: Ac6SiIr2Br3 after structural relaxation at the PBE level of DFT.

Its electronic total energy is -5.498 eV per atom. For the uncorrected formation energy, the calculation gives -1.096 eV/atom. The calculation puts the spin magnetization at 0.000 μB/cell.

The space group is C2/m (No. 12) and the conventional cell measures 7.726, 13.379 and 8.519 Å, with angles of 90.00, 107.56 and 90.00 degrees. The asymmetric unit holds Ac at (0.218, 0.000, 0.198), Ac at (0.240, 0.326, 0.198), Si at (0.000, 0.500, 0.000), Ir at (0.000, 0.167, 0.000), Br at (0.000, 0.000, 0.500) and Br at (0.000, 0.337, 0.500).

Computed, not measured: AcSmIrBr after structural relaxation at the PBE level of DFT.

Its electronic total energy is -5.965 eV per atom. For the uncorrected formation energy, the calculation gives -1.125 eV/atom. The calculation puts the spin magnetization at 0.000 μB/cell.

The space group is R3m (No. 160, hexagonal axes) and the conventional cell measures 4.2356, 4.2356 and 24.2037 Å, with angles of 90.00, 90.00 and 120.00 degrees. The asymmetric unit holds Ac at (0.0000, 0.0000, 0.0000), Sm at (0.0000, 0.0000, 0.7941), Ir at (0.0000, 0.0000, 0.4009) and Br at (0.0000, 0.0000, 0.2206).

Computed, not measured: Ac8SnIr3Br4 after structural relaxation at the PBE level of DFT.

Its electronic total energy is -5.478 eV per atom. For the uncorrected formation energy, the calculation gives -1.094 eV/atom. The calculation puts the spin magnetization at 0.000 μB/cell.

The space group is R-3m (No. 166, hexagonal axes) and the conventional cell measures 9.0173, 9.0173 and 24.4004 Å, with angles of 90.00, 90.00 and 120.00 degrees. The asymmetric unit holds Ac at (0.0000, 0.0000, 0.2326), Ac at (0.0244, 0.5122, 0.7672), Sn at (0.0000, 0.0000, 0.5000), Ir at (0.0000, 0.5000, 0.5000), Br at (0.0000, 0.0000, 0.0000) and Br at (0.0000, 0.5000, 0.0000).

Computed, not measured: Ac4SnIrBr2 after structural relaxation at the PBE level of DFT.

Its electronic total energy is -5.139 eV per atom. For the uncorrected formation energy, the calculation gives -1.058 eV/atom. The calculation puts the spin magnetization at 0.000 μB/cell.

The space group is P2/m (No. 10) and the conventional cell measures 8.261, 4.500 and 8.351 Å, with angles of 90.00, 107.68 and 90.00 degrees. The asymmetric unit holds Ac at (0.212, 0.000, 0.201), Ac at (0.231, 0.500, 0.790), Sn at (0.500, 0.000, 0.000), Ir at (0.000, 0.500, 0.000), Br at (0.000, 0.000, 0.500) and Br at (0.500, 0.500, 0.500).

Computed, not measured: AcTbIrBr after structural relaxation at the PBE level of DFT.

Its electronic total energy is -5.942 eV per atom. For the uncorrected formation energy, the calculation gives -1.124 eV/atom. The calculation puts the spin magnetization at 0.000 μB/cell.

The space group is R3m (No. 160, hexagonal axes) and the conventional cell measures 4.2043, 4.2043 and 24.0328 Å, with angles of 90.00, 90.00 and 120.00 degrees. The asymmetric unit holds Ac at (0.0000, 0.0000, 0.0000), Tb at (0.0000, 0.0000, 0.2064), Ir at (0.0000, 0.0000, 0.5978) and Br at (0.0000, 0.0000, 0.7799).

Computed, not measured: Ac6Te3Ir2Br after structural relaxation at the PBE level of DFT.

Its electronic total energy is -5.711 eV per atom. For the uncorrected formation energy, the calculation gives -1.255 eV/atom. The calculation puts the spin magnetization at 0.000 μB/cell.

The space group is C2/m (No. 12) and the conventional cell measures 7.858, 13.583 and 8.372 Å, with angles of 90.00, 108.24 and 90.00 degrees. The asymmetric unit holds Ac at (0.206, 0.000, 0.214), Ac at (0.245, 0.184, 0.782), Te at (0.000, 0.000, 0.500), Te at (0.000, 0.344, 0.500), Ir at (0.000, 0.168, 0.000) and Br at (0.000, 0.500, 0.000).

Computed, not measured: Ac6ZnIr2Br3 after structural relaxation at the PBE level of DFT.

Its electronic total energy is -5.092 eV per atom. For the uncorrected formation energy, the calculation gives -1.036 eV/atom. The calculation puts the spin magnetization at 0.000 μB/cell.

The space group is C2/m (No. 12) and the conventional cell measures 7.706, 13.343 and 8.627 Å, with angles of 90.00, 107.36 and 90.00 degrees. The asymmetric unit holds Ac at (0.213, 0.000, 0.198), Ac at (0.243, 0.323, 0.198), Zn at (0.000, 0.500, 0.000), Ir at (0.000, 0.167, 0.000), Br at (0.000, 0.000, 0.500) and Br at (0.000, 0.335, 0.500).

Computed, not measured: Ac8ZnIr3Br3 after structural relaxation at the PBE level of DFT.

Its electronic total energy is -5.322 eV per atom. For the uncorrected formation energy, the calculation gives -0.939 eV/atom. The calculation puts the spin magnetization at 0.000 μB/cell.

The space group is C2/m (No. 12) and the conventional cell measures 15.428, 8.894 and 9.419 Å, with angles of 90.00, 123.11 and 90.00 degrees. The asymmetric unit holds Ac at (0.020, 0.236, 0.295), Ac at (0.234, 0.000, 0.701), Ac at (0.245, 0.500, 0.706), Zn at (0.000, 0.500, 0.500), Ir at (0.000, 0.000, 0.500), Ir at (0.250, 0.250, 0.500), Br at (0.000, 0.500, 0.000) and Br at (0.250, 0.250, 0.000).

Computed, not measured: KAcBr after structural relaxation at the PBE level of DFT.

Its electronic total energy is -3.231 eV per atom. For the uncorrected formation energy, the calculation gives -0.938 eV/atom. The calculation puts the spin magnetization at 0.352 μB/cell.

The space group is P4/nmm (No. 129, origin choice 2) and the conventional cell measures 4.552, 4.552 and 12.215 Å, with angles of 90.00, 90.00 and 90.00 degrees. The asymmetric unit holds K at (0.250, 0.250, 0.149), Ac at (0.250, 0.250, 0.593) and Br at (0.250, 0.250, 0.867).

Computed, not measured: KAc2Br6 after structural relaxation at the PBE level of DFT.

Its electronic total energy is -3.924 eV per atom. For the uncorrected formation energy, the calculation gives -1.774 eV/atom. The calculation puts the spin magnetization at 1.909 μB/cell.

The space group is P2_1/c (No. 14) and the conventional cell measures 8.236, 7.733 and 12.119 Å, with angles of 90.00, 116.81 and 90.00 degrees. The asymmetric unit holds K at (0.000, 0.000, 0.000), Ac at (0.336, 0.058, 0.810), Br at (0.005, 0.176, 0.241), Br at (0.331, 0.699, 0.106) and Br at (0.358, 0.220, 0.069).

Computed, not measured: K3AcBr6 after structural relaxation at the PBE level of DFT.

Its electronic total energy is -3.615 eV per atom. For the uncorrected formation energy, the calculation gives -1.871 eV/atom. The calculation puts the spin magnetization at 0.000 μB/cell.

The space group is P2_1/c (No. 14) and the conventional cell measures 8.099, 8.636 and 13.919 Å, with angles of 90.00, 123.24 and 90.00 degrees. The asymmetric unit holds K at (0.000, 0.000, 0.000), K at (0.206, 0.078, 0.737), Ac at (0.500, 0.000, 0.500), Br at (0.135, 0.183, 0.437), Br at (0.239, 0.711, 0.413) and Br at (0.408, 0.071, 0.261).

Computed, not measured: K2AcBr4 after structural relaxation at the PBE level of DFT.

Its electronic total energy is -3.443 eV per atom. For the uncorrected formation energy, the calculation gives -1.586 eV/atom. The calculation puts the spin magnetization at 0.000 μB/cell.

The space group is I4/mmm (No. 139) and the conventional cell measures 6.184, 6.184 and 17.013 Å, with angles of 90.00, 90.00 and 90.00 degrees. The asymmetric unit holds K at (0.000, 0.000, 0.133), Ac at (0.000, 0.000, 0.500), Br at (0.000, 0.000, 0.323) and Br at (0.000, 0.500, 0.000).

Computed, not measured: K2AcBr after structural relaxation at the PBE level of DFT.

Its electronic total energy is -2.584 eV per atom. For the uncorrected formation energy, the calculation gives -0.590 eV/atom. The calculation puts the spin magnetization at 0.000 μB/cell.

The space group is R-3m (No. 166, hexagonal axes) and the conventional cell measures 4.1221, 4.1221 and 37.4259 Å, with angles of 90.00, 90.00 and 120.00 degrees. The asymmetric unit holds K at (0.0000, 0.0000, 0.1082), Ac at (0.0000, 0.0000, 0.0000) and Br at (0.0000, 0.0000, 0.5000).